No. 1
# AgMo2I

A PBEsol-optimized structure of AgMo2I (SCAN, the Alexandria database).

abc: 4.5608 4.5608 4.5608
angles: 60.00 60.00 60.00
Closest atoms and distances in Å follow each position.
Atoms (fractional coordinates):
1 I 0.5000 0.5000 0.5000  8 Mo 2.79
2 Mo 0.7500 0.7500 0.7500  4 I 2.79, 4 Ag 2.79
3 Mo 0.2500 0.2500 0.2500  4 I 2.79, 4 Ag 2.79
4 Ag 0.0000 0.0000 0.0000  8 Mo 2.79

Values from the calculation:
theoretical density = 10.561 g/cm³
density of states at the Fermi level = 3.6 states/eV/f.u.
E_form (uncorrected) = 1.13 eV per atom
space-group type = Fm-3m
final energy = -133.3 eV for the cell shown



No. 2
# Ag2MoI

A PBEsol-optimized structure of Ag2MoI (SCAN, the Alexandria database).

abc: 4.8840 4.8840 4.8840
angles: 60.00 60.00 60.00
Closest atoms and distances in Å follow each position.
Atoms (fractional coordinates):
1 Ag 0.2500 0.2500 0.2500  4 Mo 2.99, 4 I 2.99
2 Ag 0.7500 0.7500 0.7500  4 Mo 2.99, 4 I 2.99
3 Mo 0.0000 0.0000 0.0000  8 Ag 2.99
4 I 0.5000 0.5000 0.5000  8 Ag 2.99

Values from the calculation:
theoretical density = 8.841 g/cm³
density of states at the Fermi level = 2.3 states/eV/f.u.
E_form (uncorrected) = 1.13 eV per atom
space-group type = Fm-3m
final energy = -129.8 eV for the cell shown



No. 3
# AgMo3I

A PBEsol-optimized structure of AgMo3I (SCAN, the Alexandria database).

abc: 4.7978 4.7978 4.7978
angles: 90.00 90.00 90.00
Closest atoms and distances in Å follow each position.
Atoms (fractional coordinates):
1 Ag 0.5000 0.5000 0.5000  12 Mo 3.39
2 Mo 0.0000 0.5000 0.0000  2 I 2.40
3 Mo 0.5000 0.0000 0.0000  2 I 2.40
4 Mo 0.0000 0.0000 0.5000  2 I 2.40
5 I 0.0000 0.0000 0.0000  6 Mo 2.40

Values from the calculation:
theoretical density = 7.858 g/cm³
density of states at the Fermi level = 3.4 states/eV/f.u.
E_form (uncorrected) = 2.26 eV per atom
space-group type = Pm-3m
final energy = -161.5 eV for the cell shown



No. 4
# AgSb2MoI

A PBEsol-optimized structure of AgSb2MoI (SCAN, the Alexandria database).

abc: 5.1028 5.1028 5.6472
angles: 90.00 90.00 90.00
Closest atoms and distances in Å follow each position.
Atoms (fractional coordinates):
1 Ag 0.5000 0.5000 0.5000  4 I 3.61, 8 Sb 3.81
2 Mo 0.0000 0.0000 0.0000  4 Sb 2.55, 2 I 2.82
3 Sb 0.5000 0.0000 0.0000  2 Mo 2.55
4 Sb 0.0000 0.5000 0.0000  2 Mo 2.55
5 I 0.0000 0.0000 0.5000  2 Mo 2.82

Values from the calculation:
theoretical density = 6.485 g/cm³
density of states at the Fermi level = 4.6 states/eV/f.u.
E above lowest polymorph = 0 meV per atom
E_form (uncorrected) = 0.72 eV per atom
space-group type = P4/mmm
final energy = -173.9 eV for the cell shown



No. 5
# AgSb2MoI

A PBEsol-optimized structure of AgSb2MoI (SCAN, the Alexandria database).

abc: 5.2238 5.2238 5.4572
angles: 90.00 90.00 90.00
Closest atoms and distances in Å follow each position.
Atoms (fractional coordinates):
1 Sb 0.5000 0.0000 0.0000  2 Ag 2.61
2 Sb 0.0000 0.5000 0.0000  2 Ag 2.61
3 Ag 0.0000 0.0000 0.0000  4 Sb 2.61, 2 I 2.73
4 Mo 0.5000 0.5000 0.5000  4 I 3.69, 8 Sb 3.78
5 I 0.0000 0.0000 0.5000  2 Ag 2.73

Values from the calculation:
theoretical density = 6.403 g/cm³
density of states at the Fermi level = 3.1 states/eV/f.u.
E above lowest polymorph = 518 meV per atom
E_form (uncorrected) = 1.24 eV per atom
space-group type = P4/mmm
final energy = -171.3 eV for the cell shown



No. 6
# AgI2N

A PBEsol-optimized structure of AgI2N (SCAN, the Alexandria database).

abc: 5.0596 5.0596 5.0596
angles: 60.00 60.00 60.00
Closest atoms and distances in Å follow each position.
Atoms (fractional coordinates):
1 Ag 0.5000 0.5000 0.5000  8 I 3.10
2 I 0.2500 0.2500 0.2500  4 Ag 3.10, 4 N 3.10
3 I 0.7500 0.7500 0.7500  4 N 3.10, 4 Ag 3.10
4 N 0.0000 0.0000 0.0000  8 I 3.10

Values from the calculation:
theoretical density = 6.811 g/cm³
density of states at the Fermi level = 3.1 states/eV/f.u.
E_form (uncorrected) = 1.31 eV per atom
space-group type = Fm-3m
final energy = -108.9 eV for the cell shown